! Ba8SnPd3I4, relaxed, DFT GGA-PBE; values from VASP
! * SG: R-3m, No. 166
! * spin magnetization: 0.00 μB/cell
! * formation energy (no corrections): -1.000 eV/atom
&SYSTEM
  ibrav = 0, nat = 16, ntyp = 4
/
ATOMIC_SPECIES
Ba 137.33 Ba.upf
Sn 118.71 Sn.upf
Pd 106.42 Pd.upf
I 126.90 I.upf
CELL_PARAMETERS angstrom
-5.769 6.893 -3.321
-7.065 -7.089 -2.443
3.079 0.286 9.070
ATOMIC_POSITIONS angstrom
Ba -3.391 -3.056 6.222
Ba -4.876 -3.193 1.843
Ba -1.932 -0.081 3.189
Ba -6.176 0.272 4.619
Ba -3.579 -0.182 -1.312
Ba -7.823 0.170 0.118
Ba -4.878 3.283 1.464
Ba -6.363 3.146 -2.915
Sn -3.532 -3.545 -1.221
Pd -6.417 -0.098 -2.882
Pd -4.877 0.045 1.653
Pd -1.993 -3.402 3.314
I -2.884 3.446 -1.660
I -1.345 3.589 2.875
I 0.000 0.000 0.000
I 1.539 0.143 4.535